Entry from Alexandria via LeMat-Bulk: a crystal of ZnAu2 relaxed with PBEsol (meta-GGA SCAN). Values from VASP.

```
&SYSTEM
  ibrav = 0, nat = 3, ntyp = 2
/
ATOMIC_SPECIES
Au 196.97 Au.upf
Zn 65.41 Zn.upf
CELL_PARAMETERS angstrom
-2.5158 -1.1556 -0.2076
1.7092 -3.2868 -2.4166
0.7601 -2.3177 3.6898
ATOMIC_POSITIONS crystal
Au 0.5000 0.5000 0.0000
Au 0.5000 0.0000 0.5000
Zn 0.0000 0.0000 0.0000
```

Results
Crystal system: tetragonal
Space group: No. 123
ΔE_f: -0.12 eV per atom


Entry from Alexandria via LeMat-Bulk: a crystal of Zn5Au4 relaxed with PBEsol (meta-GGA SCAN). Values from VASP.

```
&SYSTEM
  ibrav = 0, nat = 18, ntyp = 2
/
ATOMIC_SPECIES
Au 196.97 Au.upf
Zn 65.41 Zn.upf
CELL_PARAMETERS angstrom
-2.0931 -2.0641 -4.5453
-5.7591 -3.0880 4.0544
-0.7048 7.0897 -2.8949
ATOMIC_POSITIONS crystal
Au 0.7500 0.0000 0.3739
Zn 0.0000 0.3333 0.6667
Zn 0.7500 0.0000 0.7013
Zn 0.5000 0.6667 0.3333
Zn 0.2500 0.2987 0.0000
Zn 0.5000 0.3333 0.6667
Zn 0.2500 0.7013 0.7013
Au 0.7500 0.6261 0.6261
Au 0.7500 0.3739 0.0000
Zn 0.7500 0.7013 0.0000
Au 0.2500 0.3739 0.3739
Au 0.2500 0.0000 0.6261
Au 0.5000 0.0000 0.0000
Zn 0.0000 0.6667 0.3333
Au 0.2500 0.6261 0.0000
Zn 0.7500 0.2987 0.2987
Au 0.0000 0.0000 0.0000
Zn 0.2500 0.0000 0.2987
```

Results
Crystal system: hexagonal
Space group: No. 193
ΔE_f: -0.23 eV per atom
Offset from the most stable computed form: 0.00 eV/f.u.


Entry from Alexandria via LeMat-Bulk: a crystal of Zn7Au relaxed with PBEsol (meta-GGA SCAN). Values from VASP.

```
&SYSTEM
  ibrav = 0, nat = 8, ntyp = 2
/
ATOMIC_SPECIES
Zn 65.41 Zn.upf
Au 196.97 Au.upf
CELL_PARAMETERS angstrom
-1.1378 3.9699 3.5679
1.8864 -0.3026 5.1121
3.9420 3.3900 1.6591
ATOMIC_POSITIONS crystal
Zn 0.0000 0.0000 0.5000
Au 0.0000 0.0000 0.0000
Zn 0.5000 0.0000 0.0000
Zn 0.0000 0.5000 0.5000
Zn 0.5000 0.0000 0.5000
Zn 0.5000 0.5000 0.5000
Zn 0.5000 0.5000 0.0000
Zn 0.0000 0.5000 0.0000
```

Results
Crystal system: cubic
Space group: No. 225
ΔE_f: -0.04 eV per atom


Entry from Alexandria via LeMat-Bulk: a crystal of Zn3Au5 relaxed with PBEsol (meta-GGA SCAN). Values from VASP.

```
&SYSTEM
  ibrav = 0, nat = 8, ntyp = 2
/
ATOMIC_SPECIES
Zn 65.41 Zn.upf
Au 196.97 Au.upf
CELL_PARAMETERS angstrom
4.2293 0.0000 0.0000
0.0000 5.4736 0.1307
0.0000 -0.6451 5.4370
ATOMIC_POSITIONS crystal
Zn 0.5000 0.7821 0.2179
Au 0.0000 0.5000 0.0000
Au 0.0000 0.0000 0.0000
Au 0.0000 0.0000 0.5000
Au 0.5000 0.7081 0.7081
Zn 0.5000 0.2179 0.7821
Zn 0.0000 0.5000 0.5000
Au 0.5000 0.2919 0.2919
```

Results
Crystal system: orthorhombic
Space group: No. 65
ΔE_f: -0.21 eV per atom
Offset from the most stable computed form: 0.00 eV/f.u.


Entry from Alexandria via LeMat-Bulk: a crystal of ZnAu relaxed with PBEsol (meta-GGA SCAN). Values from VASP.

```
&SYSTEM
  ibrav = 0, nat = 4, ntyp = 2
/
ATOMIC_SPECIES
Zn 65.41 Zn.upf
Au 196.97 Au.upf
CELL_PARAMETERS angstrom
-1.7952 -0.3352 2.1503
-1.1269 -3.8441 -1.5401
4.6951 -2.0758 1.7456
ATOMIC_POSITIONS crystal
Zn 0.8397 0.7500 0.6794
Au 0.5892 0.7500 0.1784
Au 0.4108 0.2500 0.8216
Zn 0.1603 0.2500 0.3206
```

Results
Crystal system: orthorhombic
Space group: No. 63
ΔE_f: -0.23 eV per atom


Entry from Alexandria via LeMat-Bulk: a crystal of ZnAu5 relaxed with PBEsol (meta-GGA SCAN). Values from VASP.

```
&SYSTEM
  ibrav = 0, nat = 6, ntyp = 2
/
ATOMIC_SPECIES
Au 196.97 Au.upf
Zn 65.41 Zn.upf
CELL_PARAMETERS angstrom
-0.0126 -4.1638 2.1177
4.1917 1.1745 2.3343
-4.3589 1.0638 2.0658
ATOMIC_POSITIONS crystal
Au 0.5000 0.3333 0.6667
Au 0.0000 0.3276 0.3276
Au 0.5000 0.6667 0.3333
Au 0.0000 0.6724 0.0000
Zn 0.5000 0.0000 0.0000
Au 0.0000 0.0000 0.6724
```

Results
Crystal system: hexagonal
Space group: No. 189
ΔE_f: -0.09 eV per atom


Entry from Alexandria via LeMat-Bulk: a crystal of Zn5Au4 relaxed with PBEsol (meta-GGA SCAN). Values from VASP.

```
&SYSTEM
  ibrav = 0, nat = 9, ntyp = 2
/
ATOMIC_SPECIES
Zn 65.41 Zn.upf
Au 196.97 Au.upf
CELL_PARAMETERS angstrom
-3.0795 0.2926 -2.4430
-2.3621 -5.6703 -0.8815
-5.1196 0.9216 3.3837
ATOMIC_POSITIONS crystal
Zn 0.6661 0.6678 0.0000
Zn 0.3339 0.0000 0.3322
Au 0.0000 0.6830 0.3170
Zn 0.6661 0.0000 0.6678
Zn 0.0000 0.0000 0.0000
Au 0.3170 0.6830 0.6830
Zn 0.3339 0.3322 0.0000
Au 0.0000 0.3170 0.6830
Au 0.6830 0.3170 0.3170
```

Results
Crystal system: tetragonal
Space group: No. 139
ΔE_f: -0.20 eV per atom
Offset from the most stable computed form: 0.26 eV/f.u.


Entry from Alexandria via LeMat-Bulk: a crystal of Zn5Au3 relaxed with PBEsol (meta-GGA SCAN). Values from VASP.

```
&SYSTEM
  ibrav = 0, nat = 16, ntyp = 2
/
ATOMIC_SPECIES
Au 196.97 Au.upf
Zn 65.41 Zn.upf
CELL_PARAMETERS angstrom
5.0811 0.0000 0.0000
2.5406 6.9860 0.0000
2.5406 0.0000 6.9860
ATOMIC_POSITIONS crystal
Au 0.7500 0.0000 0.0000
Zn 0.5763 0.6922 0.1551
Zn 0.2500 0.5000 0.5000
Zn 0.7685 0.3078 0.1551
Zn 0.9237 0.8449 0.3078
Au 0.1679 0.5000 0.1643
Au 0.2500 0.0000 0.0000
Zn 0.4237 0.3078 0.8449
Zn 0.7315 0.8449 0.6922
Zn 0.2315 0.6922 0.8449
Au 0.3321 0.8357 0.5000
Au 0.6679 0.1643 0.5000
Au 0.8321 0.5000 0.8357
Zn 0.0763 0.1551 0.6922
Zn 0.2685 0.1551 0.3078
Zn 0.7500 0.5000 0.5000
```

Results
Crystal system: tetragonal
Space group: No. 140
ΔE_f: -0.23 eV per atom
Offset from the most stable computed form: 0.00 eV/f.u.


Entry from Alexandria via LeMat-Bulk: a crystal of ZnAu2 relaxed with PBEsol (meta-GGA SCAN). Values from VASP.

```
&SYSTEM
  ibrav = 0, nat = 3, ntyp = 2
/
ATOMIC_SPECIES
Zn 65.41 Zn.upf
Au 196.97 Au.upf
CELL_PARAMETERS angstrom
2.9346 0.0000 0.0000
0.0000 3.4544 0.0000
-1.4673 -1.7272 4.6884
ATOMIC_POSITIONS crystal
Zn 0.5000 0.5000 0.0000
Au 0.8454 0.8454 0.6908
Au 0.1546 0.1546 0.3092
```

Results
Crystal system: orthorhombic
Space group: No. 71
ΔE_f: -0.20 eV per atom


Entry from Alexandria via LeMat-Bulk: a crystal of ZnAu relaxed with PBEsol (meta-GGA SCAN). Values from VASP.

```
&SYSTEM
  ibrav = 0, nat = 4, ntyp = 2
/
ATOMIC_SPECIES
Au 196.97 Au.upf
Zn 65.41 Zn.upf
CELL_PARAMETERS angstrom
-0.1098 -3.0016 1.0561
2.6967 -1.2244 -3.1994
2.6484 2.6976 3.1432
ATOMIC_POSITIONS crystal
Au 0.6167 0.8274 0.2334
Au 0.3833 0.1726 0.7666
Zn 0.8719 0.6625 0.7439
Zn 0.1281 0.3375 0.2561
```

Results
Crystal system: monoclinic
Space group: No. 12
ΔE_f: -0.25 eV per atom


Entry from Alexandria via LeMat-Bulk: a crystal of ZnAu relaxed with PBEsol (meta-GGA SCAN). Values from VASP.

```
&SYSTEM
  ibrav = 0, nat = 6, ntyp = 2
/
ATOMIC_SPECIES
Au 196.97 Au.upf
Zn 65.41 Zn.upf
CELL_PARAMETERS angstrom
2.9909 0.0000 0.0000
-1.4954 5.3674 0.0747
0.0000 -1.6551 5.7237
ATOMIC_POSITIONS crystal
Au 0.6702 0.3403 0.3549
Zn 0.7055 0.4110 0.9167
Zn 0.0385 0.0770 0.5873
Zn 0.0205 0.0410 0.0213
Au 0.3503 0.7006 0.7124
Au 0.3817 0.7634 0.2408
```

Results
Crystal system: monoclinic
Space group: No. 8
ΔE_f: -0.18 eV per atom


Entry from Alexandria via LeMat-Bulk: a crystal of Zn2Au3 relaxed with PBEsol (meta-GGA SCAN). Values from VASP.

```
&SYSTEM
  ibrav = 0, nat = 5, ntyp = 2
/
ATOMIC_SPECIES
Au 196.97 Au.upf
Zn 65.41 Zn.upf
CELL_PARAMETERS angstrom
2.9009 0.0000 0.0000
1.4505 2.5123 0.0000
1.4505 0.8374 10.8625
ATOMIC_POSITIONS crystal
Au 0.7964 0.7964 0.6108
Zn 0.3988 0.3988 0.8035
Au 0.0000 0.0000 0.0000
Au 0.2036 0.2036 0.3892
Zn 0.6012 0.6012 0.1965
```

Results
Crystal system: trigonal
Space group: No. 166
ΔE_f: -0.14 eV per atom
Offset from the most stable computed form: 0.44 eV/f.u.